No. 1
VASP calculation (PBE-GGA) on a relaxed LaAlAu2 crystal.

Cell: 3.641 3.641 6.774 Å, 90.00 90.00 90.00°
Space group P4mm (No. 99)
Symmetry-distinct sites (fractional):
La  0.000  0.000  0.000 [1 per cell]
Al  0.500  0.500  0.345 [1 per cell]
Au  0.000  0.000  0.473 [1 per cell]
Au  0.500  0.500  0.737 [1 per cell]

## Properties
Calculated density   10.35 g/cm3
Formation energy from the elements   -0.507 eV per atom

No. 2
VASP calculation (PBE-GGA) on a relaxed LaAlAu2 crystal.

Cell: 6.812 6.814 3.904 Å, 90.00 90.14 90.00°
Space group C2/m (No. 12)
Symmetry-distinct sites (fractional):
La  0.000  0.000  0.000 [2 per cell]
Al  0.000  0.500  0.000 [2 per cell]
Au  0.250  0.250  0.500 [4 per cell]

## Properties
Calculated density   10.26 g/cm3
Formation energy from the elements   -0.485 eV per atom

No. 3
VASP calculation (PBE-GGA) on a relaxed LaAl3Au crystal.

Cell: 6.4242 6.4242 5.9813 Å, 90.00 90.00 120.00°
Space group P6_3/mmc (No. 194)
Symmetry-distinct sites (fractional):
La  0.3333  0.6667  0.2500 [2 per cell]
Al  0.1953  0.3907  0.7500 [6 per cell]
Au  0.0000  0.0000  0.0000 [2 per cell]

## Properties
Calculated density   6.48 g/cm3
Formation energy from the elements   -0.438 eV per atom

No. 4
VASP calculation (PBE-GGA) on a relaxed La3Al8Au3 crystal.

Cell: 4.519 10.040 12.980 Å, 90.00 90.00 90.00°
Space group Immm (No. 71)
Symmetry-distinct sites (fractional):
La  0.000  0.000  0.000 [2 per cell]
La  0.000  0.000  0.308 [4 per cell]
Al  0.000  0.282  0.128 [8 per cell]
Al  0.000  0.366  0.334 [8 per cell]
Au  0.000  0.224  0.500 [4 per cell]
Au  0.000  0.500  0.000 [2 per cell]

## Properties
Calculated density   6.90 g/cm3
Formation energy from the elements   -0.557 eV per atom

No. 5
VASP calculation (PBE-GGA) on a relaxed LaAlAu2 crystal.

Cell: 3.838 4.810 5.223 Å, 90.00 90.00 90.00°
Space group Pmm2 (No. 25)
Symmetry-distinct sites (fractional):
La  0.000  0.000  0.000 [1 per cell]
Al  0.500  0.500  0.683 [1 per cell]
Au  0.500  0.000  0.505 [1 per cell]
Au  0.500  0.500  0.183 [1 per cell]

## Properties
Calculated density   9.64 g/cm3
Formation energy from the elements   -0.623 eV per atom

No. 6
VASP calculation (PBE-GGA) on a relaxed La3Al2Au3 crystal.

Cell: 8.062 15.756 6.318 Å, 90.00 90.00 90.00°
Space group Pnma (No. 62)
Symmetry-distinct sites (fractional):
La  0.020  0.107  0.142 [8 per cell]
La  0.162  0.250  0.619 [4 per cell]
Al  0.128  0.600  0.366 [8 per cell]
Au  0.175  0.040  0.591 [8 per cell]
Au  0.201  0.750  0.599 [4 per cell]

## Properties
Calculated density   8.79 g/cm3
Formation energy from the elements   -0.723 eV per atom